No. 1
! Pm6Sm10Th GGA-PBE optimized geometry; values from VASP
&SYSTEM
  ibrav = 0, nat = 17, ntyp = 3
/
ATOMIC_SPECIES
Pm 145.00 Pm.upf
Sm 150.36 Sm.upf
Th 232.04 Th.upf
CELL_PARAMETERS angstrom
9.8289 0.0000 0.0000
-4.9144 8.5121 0.0000
0.0000 0.0000 7.0077
ATOMIC_POSITIONS angstrom
Pm -1.8380 3.1835 2.1173
Pm -3.0764 5.3285 4.8903
Pm 3.6760 0.0000 2.1173
Pm 1.8380 3.1835 4.8903
Pm 6.1529 0.0000 4.8903
Pm 3.0764 5.3285 2.1173
Sm -1.3387 2.3186 5.7155
Sm -3.5758 6.1934 1.2922
Sm 2.6773 0.0000 5.7155
Sm 1.3387 2.3186 1.2922
Sm 0.0000 5.6747 0.0000
Sm 0.0000 5.6747 3.5038
Sm 4.9144 2.8373 0.0000
Sm 4.9144 2.8373 3.5038
Sm 7.1515 0.0000 1.2922
Sm 3.5758 6.1934 5.7155
Th 0.0000 0.0000 3.5038
! ΔH_f (0 K) in kJ/mol of atoms: 13.9
! Total magnetic moment in μB/f.u.: 0.0
! Crystal system: trigonal
! E_tot in eV/f.u.: -80.66
! Calculated volume in Å³ per cell: 586.3

No. 2
! Li2Ga2Cu2Ag GGA-PBE optimized geometry; values from VASP
&SYSTEM
  ibrav = 0, nat = 14, ntyp = 4
/
ATOMIC_SPECIES
Li 6.94 Li.upf
Ga 69.72 Ga.upf
Cu 63.55 Cu.upf
Ag 107.87 Ag.upf
CELL_PARAMETERS angstrom
9.0009 0.0000 0.0000
0.0000 4.1671 0.0000
-0.0022 0.0000 5.3726
ATOMIC_POSITIONS angstrom
Li 0.7561 0.0000 1.5722
Li 3.7421 2.0835 3.8004
Li 5.2566 2.0835 1.5722
Li 8.2426 0.0000 3.8004
Ga 1.8687 0.0000 4.3997
Ga 2.6296 2.0835 0.9728
Ga 6.3692 2.0835 4.3997
Ga 7.1300 0.0000 0.9728
Cu 1.2280 2.0835 2.9979
Cu 3.2702 0.0000 2.3747
Cu 5.7285 0.0000 2.9979
Cu 7.7707 2.0835 2.3747
Ag 0.0000 2.0835 0.0000
Ag 4.5005 0.0000 0.0000
! ΔH_f (0 K) in kJ/mol of atoms: -16.9
! Total magnetic moment in μB/f.u.: 0.0
! Crystal system: monoclinic
! E_tot in eV/f.u.: -22.15
! Calculated volume in Å³ per cell: 201.5

No. 3
! BaAcBi GGA-PBE optimized geometry; values from VASP
&SYSTEM
  ibrav = 0, nat = 12, ntyp = 3
/
ATOMIC_SPECIES
Ba 137.33 Ba.upf
Ac 227.00 Ac.upf
Bi 208.98 Bi.upf
CELL_PARAMETERS angstrom
8.1885 0.0000 0.0000
0.0000 8.1885 0.0000
0.0000 0.0000 8.1885
ATOMIC_POSITIONS angstrom
Ba 0.0000 0.0000 0.0000
Ba 0.0000 4.0942 4.0942
Ba 4.0942 0.0000 4.0942
Ba 4.0942 4.0942 0.0000
Ac 0.0000 0.0000 4.0942
Ac 0.0000 4.0942 0.0000
Ac 4.0942 0.0000 0.0000
Ac 4.0942 4.0942 4.0942
Bi 2.0471 2.0471 6.1414
Bi 2.0471 6.1414 2.0471
Bi 6.1414 2.0471 2.0471
Bi 6.1414 6.1414 6.1414
! Energy above the lowest structure with this stoichiometry in meV per atom: 34
! ΔH_f (0 K) in kJ/mol of atoms: -45.7
! Total magnetic moment in μB/f.u.: 0.0
! Crystal system: cubic
! E_tot in eV/f.u.: -11.33
! Calculated volume in Å³ per cell: 549.1

No. 4
! PuAlGa2Ag GGA-PBE optimized geometry; values from VASP
&SYSTEM
  ibrav = 0, nat = 10, ntyp = 4
/
ATOMIC_SPECIES
Pu 244.00 Pu.upf
Al 26.98 Al.upf
Ga 69.72 Ga.upf
Ag 107.87 Ag.upf
CELL_PARAMETERS angstrom
4.1740 0.0000 0.0000
0.0000 4.1740 0.0000
0.0000 0.0000 11.3060
ATOMIC_POSITIONS angstrom
Pu 0.0000 0.0000 0.0000
Pu 2.0870 2.0870 5.6530
Al 0.0000 2.0870 2.8265
Al 2.0870 0.0000 8.4795
Ga 0.0000 0.0000 4.4271
Ga 0.0000 0.0000 6.8790
Ga 2.0870 2.0870 1.2260
Ga 2.0870 2.0870 10.0801
Ag 0.0000 2.0870 8.4795
Ag 2.0870 0.0000 2.8265
! ΔH_f (0 K) in kJ/mol of atoms: -24.6
! Total magnetic moment in μB/f.u.: 5.6
! Crystal system: tetragonal
! E_tot in eV/f.u.: -28.26
! Calculated volume in Å³ per cell: 197.0

The highest E_tot belongs to which entry?
BaAcBi

Look up the total magnetic moment of the first one.
0.0 μB/f.u.

Which formula does entry 4 have?
PuAlGa2Ag